(1)
# AcAlSe3

A relaxed AcAlSe3 crystal (PBE-GGA, Alexandria).

Unit cell a=7.0867 b=8.3396 c=12.1287 alpha=90.00 beta=114.73 gamma=90.00
Last column: nearest neighbours and their distance in Å.
Space group P2_1/c (No. 14)
One atom of each set of equivalent atoms:
Ac 0.1855 0.1584 0.2137 (multiplicity 4)  7 Se 3.09-3.37
Al 0.1289 0.6007 0.1066 (multiplicity 4)  4 Se 2.34-2.53
Se 0.0629 0.1599 0.9134 (multiplicity 4)  1 Al 2.37
Se 0.1661 0.5878 0.9172 (multiplicity 4)  2 Al 2.42-2.53
Se 0.4125 0.5021 0.2758 (multiplicity 4)  1 Al 2.34

Output
- ΔE to the lowest computed polymorph: 0.032 eV per atom
- Uncorrected energy: -5.06 eV/atom
- Raw formation energy: -1.4009 eV per atom

***

(2)
# Y2TeRh2

A relaxed Y2TeRh2 crystal (PBE-GGA, Alexandria).

Unit cell a=5.3832 b=5.3832 c=8.1143 alpha=90.00 beta=90.00 gamma=90.00
Last column: nearest neighbours and their distance in Å.
Space group I4/mmm (No. 139)
One atom of each set of equivalent atoms:
Y 0.0000 0.5000 0.2500 (multiplicity 4)  4 Rh 2.80
Te 0.0000 0.0000 0.0000 (multiplicity 2)  2 Rh 2.79
Rh 0.0000 0.0000 0.3433 (multiplicity 4)  1 Rh 2.54, 1 Te 2.79, 4 Y 2.80

Output
- ΔE to the lowest computed polymorph: 0.176 eV per atom
- Uncorrected energy: -6.84 eV/atom
- Raw formation energy: -0.6837 eV per atom

***

(3)
# Tm2MgHg4

A relaxed Tm2MgHg4 crystal (PBE-GGA, Alexandria).

Unit cell a=5.1969 b=5.1969 c=15.1147 alpha=90.00 beta=90.00 gamma=90.00
Last column: nearest neighbours and their distance in Å.
Space group I4/mmm (No. 139)
One atom of each set of equivalent atoms:
Tm 0.0000 0.0000 0.1124 (multiplicity 4)  5 Hg 2.98-3.10
Mg 0.0000 0.0000 0.5000 (multiplicity 2)  6 Hg 2.60-2.88
Hg 0.0000 0.0000 0.3093 (multiplicity 4)  1 Mg 2.88, 1 Tm 2.98
Hg 0.0000 0.5000 0.0000 (multiplicity 4)  2 Mg 2.60

Output
- ΔE to the lowest computed polymorph: 0.291 eV per atom
- Uncorrected energy: -1.69 eV/atom

***

(4)
# K2YRe

A relaxed K2YRe crystal (PBE-GGA, Alexandria).

Unit cell a=7.9630 b=7.9630 c=7.9630 alpha=90.00 beta=90.00 gamma=90.00
Last column: nearest neighbours and their distance in Å.
Space group Fm-3m (No. 225)
One atom of each set of equivalent atoms:
K 0.2500 0.2500 0.2500 (multiplicity 8)  4 Y 3.45, 4 Re 3.45
Y 0.0000 0.0000 0.0000 (multiplicity 4)  8 K 3.45
Re 0.0000 0.0000 0.5000 (multiplicity 4)  8 K 3.45

Output
- ΔE to the lowest computed polymorph: 0.950 eV per atom
- Uncorrected energy: -3.54 eV/atom

***

(5)
# SrZn8Pd2

A relaxed SrZn8Pd2 crystal (PBE-GGA, Alexandria).

Unit cell a=6.6029 b=6.6029 c=5.1016 alpha=90.00 beta=90.00 gamma=90.00
Last column: nearest neighbours and their distance in Å.
Space group P4/mmm (No. 123)
One atom of each set of equivalent atoms:
Sr 0.0000 0.0000 0.0000 (multiplicity 1)  8 Zn 3.10
Zn 0.3022 0.3022 0.2520 (multiplicity 8)  4 Zn 2.53-2.61, 2 Pd 2.70
Pd 0.0000 0.5000 0.5000 (multiplicity 2)  8 Zn 2.70

Output
- Uncorrected energy: -2.08 eV/atom

***

(6)
# CePr2Pt

A relaxed CePr2Pt crystal (PBE-GGA, Alexandria).

Unit cell a=3.9912 b=3.9912 c=28.7802 alpha=90.00 beta=90.00 gamma=120.00
Last column: nearest neighbours and their distance in Å.
Space group R3m (No. 160, hexagonal axes)
One atom of each set of equivalent atoms:
Ce 0.0000 0.0000 0.0000 (multiplicity 3)  6 Pr 3.77-3.82, 6 Ce 3.99
Pr 0.0000 0.0000 0.5609 (multiplicity 3)  3 Pt 2.92
Pr 0.0000 0.0000 0.7705 (multiplicity 3)  3 Pt 2.91
Pt 0.0000 0.0000 0.1654 (multiplicity 3)  6 Pr 2.91-2.92

Output
- ΔE to the lowest computed polymorph: 0.078 eV per atom
- Uncorrected energy: -5.72 eV/atom

***

(7)
# CeHoGaSi

A relaxed CeHoGaSi crystal (PBE-GGA, Alexandria).

Unit cell a=3.9808 b=4.3319 c=10.8861 alpha=90.00 beta=90.00 gamma=90.00
Last column: nearest neighbours and their distance in Å.
Space group Amm2 (No. 38)
One atom of each set of equivalent atoms:
Ce 0.0000 0.0000 0.0000 (multiplicity 2)  4 Ga 3.05, 3 Si 3.06-3.22
Ho 0.5000 0.0000 0.7171 (multiplicity 2)  4 Si 3.02, 3 Ga 3.15
Ga 0.5000 0.0000 0.4275 (multiplicity 2)  2 Si 2.55
Si 0.0000 0.0000 0.2811 (multiplicity 2)  2 Ga 2.55

Output
- ΔE to the lowest computed polymorph: 0.000 eV per atom
- Uncorrected energy: -5.38 eV/atom
- Raw formation energy: -0.6371 eV per atom

***

(8)
# NdSmTe2Br

A relaxed NdSmTe2Br crystal (PBE-GGA, Alexandria).

Unit cell a=4.4772 b=4.4772 c=15.2051 alpha=90.00 beta=90.00 gamma=90.00
Last column: nearest neighbours and their distance in Å.
Space group P4/nmm (No. 129, origin choice 2)
One atom of each set of equivalent atoms:
Nd 0.2500 0.2500 0.1415 (multiplicity 2)  4 Br 3.11, 4 Te 3.31
Sm 0.2500 0.2500 0.5857 (multiplicity 2)  6 Te 3.18-3.22
Te 0.2500 0.2500 0.3767 (multiplicity 2)  5 Sm 3.18-3.22
Te 0.2500 0.2500 0.7953 (multiplicity 2)  1 Sm 3.19, 4 Nd 3.31
Br 0.2500 0.7500 0.0000 (multiplicity 2)  4 Nd 3.11, 4 Br 3.17

Output
- Uncorrected energy: -4.96 eV/atom
- Raw formation energy: -1.4754 eV per atom

***

(9)
# ZrMnSb2

A relaxed ZrMnSb2 crystal (PBE-GGA, Alexandria).

Unit cell a=3.8893 b=3.8893 c=5.8743 alpha=90.00 beta=90.00 gamma=90.00
Last column: nearest neighbours and their distance in Å.
Space group P4mm (No. 99)
One atom of each set of equivalent atoms:
Zr 0.0000 0.0000 0.0000 (multiplicity 1)  6 Sb 2.82-3.05
Mn 0.5000 0.5000 0.3197 (multiplicity 1)  6 Sb 2.85-3.03
Sb 0.0000 0.0000 0.4800 (multiplicity 1)  2 Zr 2.82-3.05, 4 Mn 2.91
Sb 0.5000 0.5000 0.8350 (multiplicity 1)  2 Mn 2.85-3.03, 4 Zr 2.92

Output
- Uncorrected energy: -6.74 eV/atom
- Raw formation energy: -0.2489 eV per atom

***

(10)
# TmSiGe

A relaxed TmSiGe crystal (PBE-GGA, Alexandria).

Unit cell a=3.8482 b=7.7779 c=8.0837 alpha=90.00 beta=90.00 gamma=90.00
Last column: nearest neighbours and their distance in Å.
Space group Immm (No. 71)
One atom of each set of equivalent atoms:
Tm 0.0000 0.2483 0.0000 (multiplicity 4)  4 Si 2.97, 6 Ge 3.06-3.31
Si 0.0000 0.5000 0.3533 (multiplicity 4)  1 Si 2.37, 2 Ge 2.44
Ge 0.0000 0.0000 0.3321 (multiplicity 4)  2 Si 2.44, 1 Ge 2.71

Output
- ΔE to the lowest computed polymorph: 0.115 eV per atom
- Uncorrected energy: -5.29 eV/atom
- Raw formation energy: -0.4494 eV per atom

***

(11)
# CuOs2Ru

A relaxed CuOs2Ru crystal (PBE-GGA, Alexandria).

Unit cell a=3.7352 b=3.7352 c=7.9184 alpha=90.00 beta=90.00 gamma=90.00
Last column: nearest neighbours and their distance in Å.
Space group I4/mmm (No. 139)
One atom of each set of equivalent atoms:
Cu 0.0000 0.0000 0.0000 (multiplicity 2)  4 Ru 2.64, 8 Os 2.72
Os 0.0000 0.5000 0.2500 (multiplicity 4)  4 Os 2.64, 4 Cu 2.72, 4 Ru 2.72
Ru 0.0000 0.0000 0.5000 (multiplicity 2)  4 Cu 2.64, 8 Os 2.72

Output
- ΔE to the lowest computed polymorph: 0.165 eV per atom
- Uncorrected energy: -8.59 eV/atom

***

(12)
# Al2GaTc2

A relaxed Al2GaTc2 crystal (PBE-GGA, Alexandria).

Unit cell a=6.6344 b=6.6344 c=3.4983 alpha=90.00 beta=90.00 gamma=90.00
Last column: nearest neighbours and their distance in Å.
Space group P4/mbm (No. 127)
One atom of each set of equivalent atoms:
Al 0.1442 0.3558 0.0000 (multiplicity 4)  6 Tc 2.57-2.65, 1 Al 2.71
Ga 0.0000 0.0000 0.5000 (multiplicity 2)  4 Tc 2.51
Tc 0.1553 0.6553 0.5000 (multiplicity 4)  2 Ga 2.51, 6 Al 2.57-2.65

Output
- ΔE to the lowest computed polymorph: 0.000 eV per atom
- Uncorrected energy: -6.54 eV/atom

***

(13)
# ScB3As

A relaxed ScB3As crystal (PBE-GGA, Alexandria).

Unit cell a=4.3870 b=4.3870 c=4.3870 alpha=90.00 beta=90.00 gamma=90.00
Last column: nearest neighbours and their distance in Å.
Space group Pm-3m (No. 221)
One atom of each set of equivalent atoms:
Sc 0.0000 0.0000 0.0000 (multiplicity 1)  6 B 2.19
B 0.0000 0.0000 0.5000 (multiplicity 3)  2 Sc 2.19
As 0.5000 0.5000 0.5000 (multiplicity 1)  12 B 3.10

Output
- ΔE to the lowest computed polymorph: 0.782 eV per atom
- Uncorrected energy: -4.12 eV/atom

***

(14)
# CdCl2

A relaxed CdCl2 crystal (PBE-GGA, Alexandria).

Unit cell a=3.8994 b=3.8994 c=37.9421 alpha=90.00 beta=90.00 gamma=120.00
Last column: nearest neighbours and their distance in Å.
Space group R-3m (No. 166, hexagonal axes)
One atom of each set of equivalent atoms:
Cd 0.0000 0.0000 0.0000 (multiplicity 3)  6 Cl 2.67
Cd 0.0000 0.0000 0.5000 (multiplicity 3)  6 Cl 2.68
Cl 0.0000 0.0000 0.1286 (multiplicity 6)  3 Cd 2.68
Cl 0.0000 0.0000 0.2953 (multiplicity 6)  3 Cd 2.67

Output
- Uncorrected energy: -2.63 eV/atom
- Raw formation energy: -1.0895 eV per atom

***

(15)
# Ac2As3PdPt12

A relaxed Ac2As3PdPt12 crystal (PBE-GGA, Alexandria).

Unit cell a=8.4287 b=8.4287 c=18.9167 alpha=90.00 beta=90.00 gamma=120.00
Last column: nearest neighbours and their distance in Å.
Space group R-3m (No. 166, hexagonal axes)
One atom of each set of equivalent atoms:
Ac 0.0000 0.0000 0.1195 (multiplicity 6)  6 Pt 2.96-3.06
As 0.0000 0.5000 0.0000 (multiplicity 9)  6 Pt 2.38-2.44
Pd 0.0000 0.0000 0.5000 (multiplicity 3)  6 Pt 2.54
Pt 0.0014 0.5007 0.1259 (multiplicity 18)  1 As 2.38, 1 Pd 2.54
Pt 0.0199 0.5099 0.3653 (multiplicity 18)  2 As 2.44

Output
- Uncorrected energy: -5.76 eV/atom

***

(16)
# CePmLuCd

A relaxed CePmLuCd crystal (PBE-GGA, Alexandria).

Unit cell a=7.7078 b=7.7078 c=7.7078 alpha=90.00 beta=90.00 gamma=90.00
Last column: nearest neighbours and their distance in Å.
Space group F-43m (No. 216)
One atom of each set of equivalent atoms:
Ce 0.0000 0.0000 0.0000 (multiplicity 4)  4 Pm 3.34, 4 Cd 3.34
Pm 0.2500 0.2500 0.7500 (multiplicity 4)  4 Ce 3.34, 4 Lu 3.34
Lu 0.0000 0.0000 0.5000 (multiplicity 4)  4 Cd 3.34, 4 Pm 3.34
Cd 0.2500 0.2500 0.2500 (multiplicity 4)  4 Ce 3.34, 4 Lu 3.34

Output
- Uncorrected energy: -3.98 eV/atom

***

(17)
# SrTi2Zn2O7

A relaxed SrTi2Zn2O7 crystal (PBE-GGA, Alexandria).

Unit cell a=3.6869 b=16.2926 c=5.0677 alpha=90.00 beta=90.00 gamma=90.00
Last column: nearest neighbours and their distance in Å.
Space group Imm2 (No. 44)
One atom of each set of equivalent atoms:
Sr 0.0000 0.0000 0.0000 (multiplicity 2)  8 O 2.52-2.69
Ti 0.0000 0.3883 0.9611 (multiplicity 4)  4 O 1.81-1.92
Zn 0.0000 0.2751 0.4549 (multiplicity 4)  4 O 2.03-2.06
O 0.0000 0.1170 0.3586 (multiplicity 4)  2 Ti 1.92
O 0.0000 0.2676 0.8552 (multiplicity 4)  3 Zn 2.03, 1 Ti 2.04
O 0.0000 0.3941 0.3178 (multiplicity 4)  1 Ti 1.81
O 0.0000 0.5000 0.8398 (multiplicity 2)  2 Ti 1.92

Output
- Uncorrected energy: -7.06 eV/atom
- Raw formation energy: -2.5040 eV per atom

***

(18)
# Ni5Ir4

A relaxed Ni5Ir4 crystal (PBE-GGA, Alexandria).

Unit cell a=7.8717 b=7.8717 c=3.6726 alpha=90.00 beta=90.00 gamma=90.00
Last column: nearest neighbours and their distance in Å.
Space group I4/mmm (No. 139)
One atom of each set of equivalent atoms:
Ni 0.0000 0.0000 0.0000 (multiplicity 2)  8 Ir 2.60, 4 Ni 2.62
Ni 0.0000 0.3331 0.0000 (multiplicity 8)  6 Ir 2.61-2.63, 6 Ni 2.61-2.63
Ir 0.1659 0.1659 0.5000 (multiplicity 8)  8 Ni 2.60-2.63, 4 Ir 2.61-2.62

Output
- ΔE to the lowest computed polymorph: 0.000 eV per atom
- Uncorrected energy: -7.14 eV/atom

***

(19)
# SrTb2In9

A relaxed SrTb2In9 crystal (PBE-GGA, Alexandria).

Unit cell a=4.7157 b=4.7157 c=14.1624 alpha=90.00 beta=90.00 gamma=90.00
Last column: nearest neighbours and their distance in Å.
Space group P4/mmm (No. 123)
One atom of each set of equivalent atoms:
Sr 0.0000 0.0000 0.0000 (multiplicity 1)  12 In 3.33-3.42
Tb 0.0000 0.0000 0.3402 (multiplicity 2)  12 In 3.27-3.34
In 0.0000 0.5000 0.1746 (multiplicity 4)  8 In 3.28-3.42, 2 Tb 3.33, 2 Sr 3.42
In 0.0000 0.5000 0.5000 (multiplicity 2)  4 Tb 3.27, 8 In 3.31-3.33
In 0.5000 0.5000 0.0000 (multiplicity 1)  4 Sr 3.33, 8 In 3.42
In 0.5000 0.5000 0.3356 (multiplicity 2)  8 In 3.28-3.31, 4 Tb 3.34

Output
- Uncorrected energy: -3.35 eV/atom

***

(20)
# SmGaTc

A relaxed SmGaTc crystal (PBE-GGA, Alexandria).

Unit cell a=4.3386 b=4.3386 c=14.2525 alpha=90.00 beta=90.00 gamma=90.00
Last column: nearest neighbours and their distance in Å.
Space group I-4m2 (No. 119)
One atom of each set of equivalent atoms:
Sm 0.0000 0.0000 0.0000 (multiplicity 2)  4 Ga 3.18, 8 Tc 3.27
Sm 0.0000 0.5000 0.2500 (multiplicity 2)  4 Tc 3.26, 8 Ga 3.31
Ga 0.0000 0.5000 0.6630 (multiplicity 4)  2 Tc 2.48, 1 Ga 2.48
Tc 0.0000 0.0000 0.4210 (multiplicity 4)  1 Tc 2.25, 2 Ga 2.48

Output
- ΔE to the lowest computed polymorph: 0.175 eV per atom
- Uncorrected energy: -6.25 eV/atom